# 1
The following is a DFT calculation (GGA-PBE) of an optimized crystal structure of CaTbCd.

a = 7.4136 Å, b = 7.4136 Å, c = 9.1729 Å
α = 114.64°, β = 114.64°, γ = 88.19°
Closest atoms and distances in Å follow each position.
Fractional positions:
Ca 0.6636 0.0886 0.2522  4 Cd 3.20-3.32
Ca 0.4136 0.3386 0.7522  4 Cd 3.20-3.32
Ca 0.6613 0.5864 0.2478  4 Cd 3.20-3.32
Ca 0.9114 0.3364 0.7478  4 Cd 3.20-3.32
Tb 0.1595 0.0845 0.2440  4 Cd 3.15-3.21
Tb 0.1655 0.5905 0.2560  4 Cd 3.15-3.21
Tb 0.4095 0.8346 0.7440  4 Cd 3.15-3.21
Tb 0.9155 0.8405 0.7560  4 Cd 3.15-3.21
Cd 0.5287 0.9538 0.5000  4 Tb 3.15-3.21, 4 Ca 3.20-3.32
Cd 0.7963 0.7213 0.0000  4 Tb 3.15-3.21, 4 Ca 3.20-3.32
Cd 0.0462 0.4713 0.5000  4 Tb 3.15-3.21, 4 Ca 3.20-3.32
Cd 0.2787 0.2038 0.0000  4 Tb 3.15-3.21, 4 Ca 3.20-3.32

Calculated values
Offset from the most stable computed form = 182 meV per atom
Space group = Fddd, No. 70



# 2
The following is a DFT calculation (GGA-PBE) of an optimized crystal structure of CaTbCd.

a = 3.6223 Å, b = 5.3603 Å, c = 5.3603 Å
α = 120.00°, β = 90.00°, γ = 90.00°
Closest atoms and distances in Å follow each position.
Fractional positions:
Ca 0.3886 0.3333 0.6667  3 Cd 3.25, 3 Tb 3.48, 2 Ca 3.62
Tb 0.9496 0.0000 0.0000  3 Cd 3.27, 3 Ca 3.48, 2 Tb 3.62
Cd 0.6618 0.6667 0.3333  3 Ca 3.25, 3 Tb 3.27, 2 Cd 3.62

Calculated values
Offset from the most stable computed form = 122 meV per atom
Space group = P3m1, No. 156



# 3
The following is a DFT calculation (GGA-PBE) of an optimized crystal structure of CaTb3Cd2.

a = 5.2831 Å, b = 6.9348 Å, c = 9.5685 Å
α = 90.00°, β = 90.00°, γ = 90.00°
Closest atoms and distances in Å follow each position.
Fractional positions:
Ca 0.5000 0.5205 0.5436  3 Cd 3.27-3.31, 2 Ca 3.57, 3 Tb 3.62
Ca 0.5000 0.0205 0.4564  3 Cd 3.27-3.31, 2 Ca 3.57, 3 Tb 3.62
Tb 0.0000 0.4809 0.9542  3 Cd 3.22-3.29, 5 Tb 3.54-3.60
Tb 0.0000 0.9809 0.0458  3 Cd 3.22-3.29, 5 Tb 3.54-3.60
Tb 0.5000 0.6752 0.1731  4 Cd 3.10-3.20
Tb 0.5000 0.1752 0.8269  4 Cd 3.10-3.20
Tb 0.0000 0.3236 0.3201  4 Cd 3.14-3.19
Tb 0.0000 0.8236 0.6799  4 Cd 3.14-3.19
Cd 0.5000 0.7245 0.8516  6 Tb 3.10-3.29, 1 Ca 3.27
Cd 0.5000 0.2245 0.1484  6 Tb 3.10-3.29, 1 Ca 3.27
Cd 0.0000 0.2753 0.6520  5 Tb 3.14-3.22, 2 Ca 3.31
Cd 0.0000 0.7753 0.3480  5 Tb 3.14-3.22, 2 Ca 3.31

Calculated values
Offset from the most stable computed form = 0 meV per atom
Space group = Pmc2_1, No. 26



# 4
The following is a DFT calculation (GGA-PBE) of an optimized crystal structure of CaTb2Cd.

a = 4.7646 Å, b = 5.0046 Å, c = 5.0046 Å
α = 90.00°, β = 90.00°, γ = 90.00°
Closest atoms and distances in Å follow each position.
Fractional positions:
Ca 0.5000 0.5000 0.5000  8 Tb 3.45, 4 Cd 3.54
Tb 0.0000 0.0000 0.5000  4 Ca 3.45, 4 Cd 3.45, 4 Tb 3.54
Tb 0.0000 0.5000 0.0000  4 Ca 3.45, 4 Cd 3.45, 4 Tb 3.54
Cd 0.5000 0.0000 0.0000  8 Tb 3.45, 4 Ca 3.54

Calculated values
Offset from the most stable computed form = 34 meV per atom
Space group = P4/mmm, No. 123



# 5
The following is a DFT calculation (GGA-PBE) of an optimized crystal structure of CaTbCd.

a = 3.7111 Å, b = 3.7111 Å, c = 7.2125 Å
α = 104.91°, β = 104.91°, γ = 90.00°
Closest atoms and distances in Å follow each position.
Fractional positions:
Ca 0.0190 0.0190 0.0381  4 Cd 3.33, 4 Ca 3.71
Tb 0.3090 0.3090 0.6181  4 Cd 3.21
Cd 0.6719 0.6719 0.3438  4 Tb 3.21, 4 Ca 3.33

Calculated values
Offset from the most stable computed form = 0 meV per atom
Space group = I4mm, No. 107



# 6
The following is a DFT calculation (GGA-PBE) of an optimized crystal structure of CaTbCd14.

a = 6.6121 Å, b = 6.6121 Å, c = 8.5721 Å
α = 90.00°, β = 90.00°, γ = 90.00°
Closest atoms and distances in Å follow each position.
Fractional positions:
Ca 0.3750 0.3750 0.5000  12 Cd 3.24-3.31
Tb 0.8750 0.8750 0.5000  12 Cd 3.23-3.31
Cd 0.8750 0.8750 0.0000  12 Cd 3.11-3.31
Cd 0.3750 0.3750 0.0000  12 Cd 3.12-3.31
Cd 0.8750 0.3750 0.5000  8 Cd 3.23, 2 Tb 3.31, 2 Ca 3.31
Cd 0.8750 0.3750 0.0000  12 Cd 3.11-3.31
Cd 0.3750 0.8750 0.5000  8 Cd 3.23, 2 Tb 3.31, 2 Ca 3.31
Cd 0.3750 0.8750 0.0000  12 Cd 3.11-3.31
Cd 0.6258 0.1242 0.2395  10 Cd 3.11-3.32, 1 Tb 3.23, 1 Ca 3.24
Cd 0.6258 0.1242 0.7605  10 Cd 3.11-3.32, 1 Tb 3.23, 1 Ca 3.24
Cd 0.1242 0.6258 0.2395  10 Cd 3.11-3.32, 1 Tb 3.23, 1 Ca 3.24
Cd 0.1242 0.6258 0.7605  10 Cd 3.11-3.32, 1 Tb 3.23, 1 Ca 3.24
Cd 0.6258 0.6258 0.2395  10 Cd 3.11-3.32, 1 Tb 3.23, 1 Ca 3.24
Cd 0.6258 0.6258 0.7605  10 Cd 3.11-3.32, 1 Tb 3.23, 1 Ca 3.24
Cd 0.1242 0.1242 0.2396  10 Cd 3.11-3.32, 1 Tb 3.23, 1 Ca 3.24
Cd 0.1242 0.1242 0.7604  10 Cd 3.11-3.32, 1 Tb 3.23, 1 Ca 3.24

Calculated values
Electronic total energy = -1.35 eV per atom
Space group = P4/mmm, No. 123



# 7
The following is a DFT calculation (GGA-PBE) of an optimized crystal structure of CaTb2Cd8.

a = 5.3824 Å, b = 6.3737 Å, c = 9.0308 Å
α = 110.65°, β = 107.32°, γ = 90.04°
Closest atoms and distances in Å follow each position.
Fractional positions:
Ca 0.5000 0.0000 0.0000  6 Cd 3.23-3.46
Tb 0.6888 0.6888 0.3777  12 Cd 3.19-3.31
Tb 0.3112 0.3112 0.6223  12 Cd 3.19-3.31
Cd 0.1315 0.3652 0.2640  6 Cd 2.97-3.27, 3 Tb 3.23-3.31
Cd 0.8675 0.1013 0.7360  6 Cd 2.97-3.27, 3 Tb 3.23-3.31
Cd 0.7484 0.5013 0.0000  2 Cd 2.67-2.71
Cd 0.7016 0.2016 0.4031  6 Cd 3.16-3.27, 4 Tb 3.19-3.21, 1 Ca 3.23
Cd 0.2984 0.7984 0.5969  6 Cd 3.16-3.27, 4 Tb 3.19-3.21, 1 Ca 3.23
Cd 0.2516 0.4987 0.0000  2 Cd 2.67-2.71
Cd 0.1325 0.8988 0.2640  6 Cd 2.97-3.27, 3 Tb 3.23-3.31
Cd 0.8685 0.6348 0.7360  6 Cd 2.97-3.27, 3 Tb 3.23-3.31

Calculated values
Electronic total energy = -1.95 eV per atom
Space group = C2/m, No. 12



# 8
The following is a DFT calculation (GGA-PBE) of an optimized crystal structure of CaTbYCd.

a = 5.5201 Å, b = 5.5201 Å, c = 5.5201 Å
α = 60.00°, β = 60.00°, γ = 60.00°
Closest atoms and distances in Å follow each position.
Fractional positions:
Y 0.5000 0.5000 0.5000  4 Ca 3.38, 4 Cd 3.38
Ca 0.2500 0.2500 0.2500  4 Tb 3.38, 4 Y 3.38
Tb 0.0000 0.0000 0.0000  4 Cd 3.38, 4 Ca 3.38
Cd 0.7500 0.7500 0.7500  4 Tb 3.38, 4 Y 3.38

Calculated values
Electronic total energy = -3.52 eV per atom
Space group = F-43m, No. 216



# 9
The following is a DFT calculation (GGA-PBE) of an optimized crystal structure of CaTbZnCd.

a = 5.2448 Å, b = 5.2448 Å, c = 5.2448 Å
α = 60.00°, β = 60.00°, γ = 60.00°
Closest atoms and distances in Å follow each position.
Fractional positions:
Zn 0.2500 0.2500 0.2500  4 Tb 3.21, 4 Ca 3.21
Tb 0.5000 0.5000 0.5000  4 Zn 3.21, 4 Cd 3.21
Ca 0.0000 0.0000 0.0000  4 Cd 3.21, 4 Zn 3.21
Cd 0.7500 0.7500 0.7500  4 Ca 3.21, 4 Tb 3.21

Calculated values
Offset from the most stable computed form = 13 meV per atom
Space group = F-43m, No. 216



# 10
The following is a DFT calculation (GGA-PBE) of an optimized crystal structure of CaTbZnCd.

a = 3.7131 Å, b = 3.7131 Å, c = 7.4373 Å
α = 90.00°, β = 90.00°, γ = 90.00°
Closest atoms and distances in Å follow each position.
Fractional positions:
Ca 0.5000 0.5000 0.5950  4 Zn 3.24, 4 Cd 3.32, 1 Tb 3.50
Tb 0.5000 0.5000 0.1242  4 Zn 3.08, 4 Cd 3.24
Zn 0.0000 0.0000 0.3397  4 Tb 3.08, 4 Ca 3.24
Cd 0.0000 0.0000 0.8691  4 Tb 3.24, 4 Ca 3.32, 1 Zn 3.50

Calculated values
Offset from the most stable computed form = 0 meV per atom
Space group = P4mm, No. 99



# 11
The following is a DFT calculation (GGA-PBE) of an optimized crystal structure of CaCdTc.

a = 5.4425 Å, b = 5.4425 Å, c = 5.4425 Å
α = 149.38°, β = 130.80°, γ = 59.07°
Closest atoms and distances in Å follow each position.
Fractional positions:
Ca 0.0023 0.0023 0.0000  2 Ca 2.87, 5 Cd 3.01-3.19, 5 Tc 3.07-3.16
Tc 0.6776 0.6776 0.0000  2 Tc 2.87, 4 Cd 3.00, 5 Ca 3.07-3.16
Cd 0.3201 0.3201 0.0000  2 Cd 2.87, 4 Tc 3.00, 5 Ca 3.01-3.19

Calculated values
Offset from the most stable computed form = 11 meV per atom
Space group = Imm2, No. 44



# 12
The following is a DFT calculation (GGA-PBE) of an optimized crystal structure of CaCd2Tc.

a = 10.2298 Å, b = 10.2298 Å, c = 10.2298 Å
α = 17.66°, β = 17.66°, γ = 17.66°
Closest atoms and distances in Å follow each position.
Fractional positions:
Ca 0.7500 0.7500 0.7500  6 Ca 3.14, 6 Cd 3.31
Tc 0.2500 0.2500 0.2500  6 Cd 2.90, 6 Tc 3.14
Cd 0.9915 0.9915 0.9915  3 Tc 2.90, 6 Cd 3.14
Cd 0.5085 0.5085 0.5085  3 Tc 2.90, 6 Cd 3.14

Calculated values
Offset from the most stable computed form = 218 meV per atom
Space group = R-3m, No. 166



# 13
The following is a DFT calculation (GGA-PBE) of an optimized crystal structure of CaCd2Tc.

a = 4.3264 Å, b = 3.0283 Å, c = 7.0489 Å
α = 64.28°, β = 90.00°, γ = 90.00°
Closest atoms and distances in Å follow each position.
Fractional positions:
Ca 0.5000 0.7500 0.7500  2 Ca 3.03, 2 Tc 3.18, 8 Cd 3.18-3.19
Tc 0.5000 0.2500 0.2500  8 Cd 2.98-2.99, 2 Tc 3.03, 2 Ca 3.18
Cd 0.0000 0.9686 0.0307  3 Cd 2.79-3.03, 4 Tc 2.98-2.99
Cd 0.0000 0.5314 0.4693  3 Cd 2.79-3.03, 4 Tc 2.98-2.99

Calculated values
Offset from the most stable computed form = 0 meV per atom
Space group = P2/m, No. 10



# 14
The following is a DFT calculation (GGA-PBE) of an optimized crystal structure of CaCd2Tc.

a = 5.6795 Å, b = 5.6795 Å, c = 5.3240 Å
α = 70.02°, β = 70.02°, γ = 31.83°
Closest atoms and distances in Å follow each position.
Fractional positions:
Ca 0.2310 0.2310 0.3145  3 Tc 2.99-3.07, 4 Cd 3.11-3.12, 2 Ca 3.12
Tc 0.4823 0.4823 0.4486  4 Cd 2.81-2.98, 3 Ca 2.99-3.07, 2 Tc 3.12
Cd 0.0128 0.0128 0.9520  4 Tc 2.98-3.22, 5 Cd 3.04-3.12
Cd 0.7739 0.7739 0.7849  2 Tc 2.81, 5 Cd 3.04-3.12, 4 Ca 3.11-3.12

Calculated values
Offset from the most stable computed form = 74 meV per atom
Space group = Cm, No. 8